Computed, not measured: an optimized crystal structure of SmAg2TeO6 at the GGA-PBE level of DFT.

Cell: 5.661 5.670 5.928 Å, 63.35 62.36 60.99°
Positions (direct):
Sm: 0.000 0.000 0.000
Ag: 0.254 0.250 0.239
Ag: 0.793 0.777 0.630
Te: 0.496 0.480 0.530
O: 0.178 0.353 0.763
O: 0.233 0.813 0.340
O: 0.397 0.687 0.775
O: 0.625 0.283 0.277
O: 0.732 0.146 0.738
O: 0.813 0.627 0.315

**Total energy**: -0.41164 Ry/atom
**Raw formation energy**: -1.269 eV per atom
**Size of the total moment**: 0.98 μB/f.u.